This record from Alexandria via LeMat-Bulk describes crystalline SrNiO at its relaxed geometry. The functional is GGA+U.

Unit cell a=3.837 b=3.559 c=9.596 alpha=111.78 beta=66.45 gamma=90.00
Element x y z (fractional)
Ni 0.616 0.672 0.726
O 0.080 0.708 0.762
Sr 0.341 0.947 0.501
Sr 0.870 0.418 0.972
Ni 0.118 0.169 0.224
O 0.870 0.418 0.472

Computed properties:
- DFT total energy: -4.209 eV per atom
- N(E_F): 0.109 states/eV per atom
- SG: No. 25